The following is a PBEsol calculation of a relaxed KLa2Se crystal, from the Alexandria database.

## Properties
**Raw formation energy**: -0.61 eV/atom
**Spin magnetization**: 0.0 Bohr magnetons per cell
**DOS(E_F)**: 5.6 states/eV per cell

Unit cell a=3.648 b=3.648 c=10.914 alpha=90.00 beta=90.00 gamma=90.00
Element x y z (fractional)
K 0.000 0.000 0.000
La 0.500 0.500 0.340
La 0.500 0.500 0.660
Se 0.000 0.000 0.500

***

The following is a PBEsol calculation of a relaxed KLa2Se crystal, from the Alexandria database.

## Properties
**Raw formation energy**: -0.26 eV/atom
**Spin magnetization**: 0.0 Bohr magnetons per cell
**DOS(E_F)**: 8.0 states/eV per cell

Unit cell a=4.743 b=4.743 c=10.473 alpha=90.00 beta=90.00 gamma=90.00
Element x y z (fractional)
K 0.000 0.000 0.000
K 0.500 0.500 0.500
La 0.000 0.500 0.250
La 0.000 0.500 0.750
La 0.500 0.000 0.250
La 0.500 0.000 0.750
Se 0.000 0.000 0.500
Se 0.500 0.500 0.000

***

The following is a PBEsol calculation of a relaxed KLa2Se crystal, from the Alexandria database.

## Properties
**Raw formation energy**: -0.30 eV/atom
**Spin magnetization**: 0.0 Bohr magnetons per cell
**DOS(E_F)**: 3.6 states/eV per cell

Unit cell a=4.891 b=4.891 c=4.689 alpha=90.00 beta=90.00 gamma=90.00
Element x y z (fractional)
K 0.000 0.000 0.000
La 0.000 0.500 0.500
La 0.500 0.000 0.500
Se 0.500 0.500 0.000

***

The following is a PBEsol calculation of a relaxed KLa2Se crystal, from the Alexandria database.

## Properties
**Raw formation energy**: -0.56 eV/atom
**Spin magnetization**: 0.0 Bohr magnetons per cell
**DOS(E_F)**: 8.8 states/eV per cell

Unit cell a=3.761 b=5.998 c=12.612 alpha=90.00 beta=90.00 gamma=90.00
Element x y z (fractional)
K 0.000 0.000 0.000
K 0.500 0.500 0.500
La 0.000 0.500 0.183
La 0.000 0.500 0.817
La 0.500 0.000 0.317
La 0.500 0.000 0.683
Se 0.000 0.000 0.500
Se 0.500 0.500 0.000

***

The following is a PBEsol calculation of a relaxed KLaSi2 crystal, from the Alexandria database.

## Properties
**Raw formation energy**: -0.16 eV/atom
**Spin magnetization**: 0.0 Bohr magnetons per cell
**DOS(E_F)**: 3.5 states/eV per cell
**Energy above the lowest structure with this stoichiometry**: 0.000 eV/atom

Unit cell a=10.772 b=4.017 c=7.832 alpha=90.00 beta=127.56 gamma=90.00
Element x y z (fractional)
K 0.000 0.000 0.000
K 0.500 0.500 0.000
La 0.000 0.500 0.500
La 0.500 0.000 0.500
Si 0.229 0.000 0.560
Si 0.271 0.500 0.440
Si 0.729 0.500 0.560
Si 0.771 0.000 0.440

***

The following is a PBEsol calculation of a relaxed KLaSi2 crystal, from the Alexandria database.

## Properties
**Raw formation energy**: 0.21 eV/atom
**Spin magnetization**: 0.0 Bohr magnetons per cell
**DOS(E_F)**: 9.0 states/eV per cell
**Energy above the lowest structure with this stoichiometry**: 0.371 eV/atom

Unit cell a=4.474 b=4.474 c=9.600 alpha=90.00 beta=90.00 gamma=90.00
Element x y z (fractional)
K 0.000 0.000 0.000
K 0.500 0.500 0.500
La 0.000 0.500 0.250
La 0.500 0.000 0.750
Si 0.000 0.000 0.500
Si 0.000 0.500 0.750
Si 0.500 0.000 0.250
Si 0.500 0.500 0.000

***

The following is a PBEsol calculation of a relaxed KLaSi2 crystal, from the Alexandria database.

## Properties
**Raw formation energy**: -0.15 eV/atom
**Spin magnetization**: 0.1 Bohr magnetons per cell
**DOS(E_F)**: 10.6 states/eV per cell
**Energy above the lowest structure with this stoichiometry**: 0.008 eV/atom

Unit cell a=3.986 b=3.986 c=26.213 alpha=90.00 beta=90.00 gamma=120.00
Element x y z (fractional)
K 0.000 0.000 0.000
K 0.333 0.667 0.667
K 0.667 0.333 0.333
La 0.000 0.000 0.817
La 0.333 0.667 0.483
La 0.667 0.333 0.150
Si 0.000 0.000 0.242
Si 0.000 0.000 0.557
Si 0.333 0.667 0.224
Si 0.333 0.667 0.908
Si 0.667 0.333 0.575
Si 0.667 0.333 0.890

***

The following is a PBEsol calculation of a relaxed KLaSn2W crystal, from the Alexandria database.

## Properties
**Spin magnetization**: 4.7 Bohr magnetons per cell
**DOS(E_F)**: 4.1 states/eV per cell
**DFT formation energy**: 1.977 eV/atom

Unit cell a=5.799 b=5.799 c=5.758 alpha=90.00 beta=90.00 gamma=90.00
Element x y z (fractional)
K 0.000 0.000 0.000
La 0.000 0.000 0.500
Sn 0.000 0.500 0.500
Sn 0.500 0.000 0.500
W 0.500 0.500 0.000

***

The following is a PBEsol calculation of a relaxed KSr2La crystal, from the Alexandria database.

## Properties
**Spin magnetization**: 0.0 Bohr magnetons per cell
**DOS(E_F)**: 10.5 states/eV per cell
**DFT formation energy**: 0.268 eV/atom

Unit cell a=8.709 b=10.927 c=4.011 alpha=90.00 beta=90.00 gamma=90.00
Element x y z (fractional)
K 0.000 0.000 0.000
K 0.500 0.500 0.000
Sr 0.250 0.250 0.500
Sr 0.250 0.750 0.500
Sr 0.750 0.250 0.500
Sr 0.750 0.750 0.500
La 0.000 0.500 0.000
La 0.500 0.000 0.000

***

The following is a PBEsol calculation of a relaxed KSrLa2 crystal, from the Alexandria database.

## Properties
**Spin magnetization**: 0.0 Bohr magnetons per cell
**DOS(E_F)**: 25.3 states/eV per cell
**DFT formation energy**: 0.448 eV/atom

Unit cell a=8.807 b=8.807 c=8.807 alpha=90.00 beta=90.00 gamma=90.00
Element x y z (fractional)
K 0.000 0.000 0.000
K 0.000 0.500 0.500
K 0.500 0.000 0.500
K 0.500 0.500 0.000
Sr 0.250 0.250 0.750
Sr 0.250 0.750 0.250
Sr 0.750 0.250 0.250
Sr 0.750 0.750 0.750
La 0.000 0.000 0.500
La 0.000 0.500 0.000
La 0.250 0.250 0.250
La 0.250 0.750 0.750
La 0.500 0.000 0.000
La 0.500 0.500 0.500
La 0.750 0.250 0.750
La 0.750 0.750 0.250

***

The following is a PBEsol calculation of a relaxed K2Sr2La crystal, from the Alexandria database.

## Properties
**Spin magnetization**: 0.0 Bohr magnetons per cell
**DOS(E_F)**: 11.4 states/eV per cell
**DFT formation energy**: 0.408 eV/atom

Unit cell a=4.877 b=4.877 c=22.255 alpha=90.00 beta=90.00 gamma=90.00
Element x y z (fractional)
K 0.000 0.500 0.250
K 0.000 0.500 0.750
K 0.500 0.000 0.250
K 0.500 0.000 0.750
Sr 0.000 0.000 0.089
Sr 0.000 0.000 0.911
Sr 0.500 0.500 0.411
Sr 0.500 0.500 0.589
La 0.000 0.000 0.500
La 0.500 0.500 0.000

***

The following is a PBEsol calculation of a relaxed KLaTa crystal, from the Alexandria database.

## Properties
**Spin magnetization**: 14.7 Bohr magnetons per cell
**DOS(E_F)**: 15.9 states/eV per cell
**DFT formation energy**: 1.814 eV/atom

Unit cell a=7.548 b=7.548 c=7.548 alpha=90.00 beta=90.00 gamma=90.00
Element x y z (fractional)
K 0.000 0.000 0.000
K 0.000 0.500 0.500
K 0.500 0.000 0.500
K 0.500 0.500 0.000
La 0.000 0.000 0.500
La 0.000 0.500 0.000
La 0.500 0.000 0.000
La 0.500 0.500 0.500
Ta 0.250 0.250 0.250
Ta 0.250 0.750 0.750
Ta 0.750 0.250 0.750
Ta 0.750 0.750 0.250

***

The following is a PBEsol calculation of a relaxed K2LaTa crystal, from the Alexandria database.

## Properties
**Spin magnetization**: 1.6 Bohr magnetons per cell
**DOS(E_F)**: 5.3 states/eV per cell
**DFT formation energy**: 1.240 eV/atom

Unit cell a=4.495 b=4.495 c=6.656 alpha=90.00 beta=90.00 gamma=90.00
Element x y z (fractional)
K 0.000 0.500 0.000
K 0.500 0.000 0.000
La 0.000 0.000 0.500
Ta 0.500 0.500 0.500

***

The following is a PBEsol calculation of a relaxed K2LaTa crystal, from the Alexandria database.

## Properties
**Spin magnetization**: 2.6 Bohr magnetons per cell
**DOS(E_F)**: 9.5 states/eV per cell
**DFT formation energy**: 1.239 eV/atom

Unit cell a=4.485 b=4.485 c=13.329 alpha=90.00 beta=90.00 gamma=90.00
Element x y z (fractional)
K 0.000 0.500 0.250
K 0.000 0.500 0.750
K 0.500 0.000 0.250
K 0.500 0.000 0.750
La 0.000 0.000 0.000
La 0.500 0.500 0.500
Ta 0.000 0.000 0.500
Ta 0.500 0.500 0.000

***

The following is a PBEsol calculation of a relaxed KLaTa3 crystal, from the Alexandria database.

## Properties
**Spin magnetization**: 0.0 Bohr magnetons per cell
**DOS(E_F)**: 5.7 states/eV per cell
**DFT formation energy**: 2.298 eV/atom

Unit cell a=5.040 b=5.040 c=5.040 alpha=90.00 beta=90.00 gamma=90.00
Element x y z (fractional)
K 0.000 0.000 0.000
La 0.500 0.500 0.500
Ta 0.000 0.500 0.500
Ta 0.500 0.000 0.500
Ta 0.500 0.500 0.000